A plane-wave DFT calculation with PBE was carried out for a relaxed structure of Rb3Cd5Cl12.

Values from the calculation:
V in Å³ per cell: 5114.3
Energy relative to the elements, uncorrected in eV/atom: -1.30

Cell and atoms, written as CIF:
```
data_Rb3Cd5Cl12
_chemical_formula_sum 'Rb24 Cd40 Cl96'
_space_group_name_H-M_alt 'I a -3 d'
_space_group_IT_number 230
_space_group_name_Hall '-I 4bd 2c 3'
_cell_length_a 17.2291
_cell_length_b 17.2291
_cell_length_c 17.2291
_cell_angle_alpha 90.00
_cell_angle_beta 90.00
_cell_angle_gamma 90.00
loop_
_atom_site_label
_atom_site_type_symbol
_atom_site_fract_x
_atom_site_fract_y
_atom_site_fract_z
Rb1 Rb 0.0000 0.2500 0.1250
Cd1 Cd 0.0000 0.0000 0.0000
Cd2 Cd 0.0000 0.2500 0.3750
Cl1 Cl 0.0332 0.0520 0.6463
```



A plane-wave DFT calculation with PBE was carried out for a relaxed structure of RbCd2Cl5.

Values from the calculation:
V in Å³ per cell: 469.5
Energy above the lowest structure with this stoichiometry in meV per atom: 64
Energy relative to the elements, uncorrected in eV/atom: -1.23

Cell and atoms, written as CIF:
```
data_RbCd2Cl5
_chemical_formula_sum 'Rb2 Cd4 Cl10'
_space_group_name_H-M_alt 'I m m m'
_space_group_IT_number 71
_space_group_name_Hall '-I 2 2'
_cell_length_a 3.8454
_cell_length_b 6.9752
_cell_length_c 17.5053
_cell_angle_alpha 90.00
_cell_angle_beta 90.00
_cell_angle_gamma 90.00
loop_
_atom_site_label
_atom_site_type_symbol
_atom_site_fract_x
_atom_site_fract_y
_atom_site_fract_z
Rb1 Rb 0.0000 0.0000 0.0000
Cd1 Cd 0.0000 0.5000 0.1488
Cl1 Cl 0.0000 0.2534 0.3430
Cl2 Cl 0.0000 0.5000 0.0000
```



A plane-wave DFT calculation with PBE was carried out for a relaxed structure of Rb2CdCl4.

Values from the calculation:
V in Å³ per cell: 434.4
Energy relative to the elements, uncorrected in eV/atom: -1.58

Cell and atoms, written as CIF:
```
data_Rb2CdCl4
_chemical_formula_sum 'Rb4 Cd2 Cl8'
_space_group_name_H-M_alt 'C 1 2/m 1'
_space_group_IT_number 12
_cell_length_a 13.7955
_cell_length_b 4.2016
_cell_length_c 8.4466
_cell_angle_alpha 90.00
_cell_angle_beta 117.47
_cell_angle_gamma 90.00
loop_
_space_group_symop_operation_xyz
'x,y,z'
'-x,-y,-z'
'-x,y,-z'
'x,-y,z'
'x+1/2,y+1/2,z'
'-x+1/2,-y+1/2,-z'
'-x+1/2,y+1/2,-z'
'x+1/2,-y+1/2,z'
loop_
_atom_site_label
_atom_site_type_symbol
_atom_site_fract_x
_atom_site_fract_y
_atom_site_fract_z
Rb1 Rb 0.1570 0.0000 0.1814
Cd1 Cd 0.0000 0.5000 0.5000
Cl1 Cl 0.0456 0.5000 0.8315
Cl2 Cl 0.1454 0.0000 0.5668
```



A plane-wave DFT calculation with PBE was carried out for a relaxed structure of RbCdCl2.

Values from the calculation:
V in Å³ per cell: 461.7
Energy above the lowest structure with this stoichiometry in meV per atom: 268
Energy relative to the elements, uncorrected in eV/atom: -0.86

Cell and atoms, written as CIF:
```
data_RbCdCl2
_chemical_formula_sum 'Rb3 Cd3 Cl6'
_space_group_name_H-M_alt 'R -3 m'
_space_group_IT_number 166
_space_group_name_Hall '-R 3 2"'
_cell_length_a 4.4585
_cell_length_b 4.4585
_cell_length_c 26.8189
_cell_angle_alpha 90.00
_cell_angle_beta 90.00
_cell_angle_gamma 120.00
loop_
_atom_site_label
_atom_site_type_symbol
_atom_site_fract_x
_atom_site_fract_y
_atom_site_fract_z
Rb1 Rb 0.0000 0.0000 0.0000
Cd1 Cd 0.0000 0.0000 0.5000
Cl1 Cl 0.0000 0.0000 0.1168
```



A plane-wave DFT calculation with PBE was carried out for a relaxed structure of Rb2Cd2Cl.

Values from the calculation:
V in Å³ per cell: 364.6
Energy relative to the elements, uncorrected in eV/atom: -0.74

Cell and atoms, written as CIF:
```
data_Rb2Cd2Cl
_chemical_formula_sum 'Rb4 Cd4 Cl2'
_space_group_name_H-M_alt 'I 4/m m m'
_space_group_IT_number 139
_space_group_name_Hall '-I 4 2'
_cell_length_a 4.1677
_cell_length_b 4.1677
_cell_length_c 20.9892
_cell_angle_alpha 90.00
_cell_angle_beta 90.00
_cell_angle_gamma 90.00
loop_
_atom_site_label
_atom_site_type_symbol
_atom_site_fract_x
_atom_site_fract_y
_atom_site_fract_z
Rb1 Rb 0.0000 0.0000 0.0912
Cd1 Cd 0.0000 0.5000 0.2500
Cl1 Cl 0.0000 0.0000 0.5000
```



A plane-wave DFT calculation with PBE was carried out for a relaxed structure of Rb4CdCl6.

Values from the calculation:
V in Å³ per cell: 1669.4
Energy above the lowest structure with this stoichiometry in meV per atom: 115
Energy relative to the elements, uncorrected in eV/atom: -1.62

Cell and atoms, written as CIF:
```
data_Rb4CdCl6
_chemical_formula_sum 'Rb16 Cd4 Cl24'
_space_group_name_H-M_alt 'C 1 2/c 1'
_space_group_IT_number 15
_cell_length_a 7.9984
_cell_length_b 24.5290
_cell_length_c 8.5092
_cell_angle_alpha 90.00
_cell_angle_beta 90.07
_cell_angle_gamma 90.00
loop_
_space_group_symop_operation_xyz
'x,y,z'
'-x,-y,-z'
'-x,y,-z+1/2'
'x,-y,z+1/2'
'x+1/2,y+1/2,z'
'-x+1/2,-y+1/2,-z'
'-x+1/2,y+1/2,-z+1/2'
'x+1/2,-y+1/2,z+1/2'
loop_
_atom_site_label
_atom_site_type_symbol
_atom_site_fract_x
_atom_site_fract_y
_atom_site_fract_z
Rb1 Rb 0.0000 0.0135 0.2500
Rb2 Rb 0.0000 0.1417 0.7500
Rb3 Rb 0.2398 0.3064 0.7492
Cd1 Cd 0.0000 0.5000 0.0000
Cl1 Cl 0.0005 0.2380 0.9917
Cl2 Cl 0.2299 0.4273 0.9948
Cl3 Cl 0.2351 0.4286 0.4993
```



- The highest energy relative to the elements, uncorrected belongs to which entry?
  Rb2Cd2Cl